Record 1
Here is crystalline CaTeF3 at its relaxed geometry from Alexandria via LeMat-Bulk. Energies are from GGA-PBE.

Energy relative to the lowest polymorph listed for this composition (meV/atom): 780.9
Formation energy (no corrections) (eV/atom): -1.5297
DOS(E_F) (states/eV/f.u.): 1.65
Calculated volume (Å³/f.u.): 109.02
Magnetic moment (μB per atom): 0.000

Unit cell a=4.7771 b=4.7771 c=4.7771 alpha=90.00 beta=90.00 gamma=90.00
Sites, in units of the cell vectors:
Ca (0.5000, 0.5000, 0.5000)
Te (0.0000, 0.0000, 0.0000)
F (0.0000, 0.5000, 0.0000)
F (0.0000, 0.0000, 0.5000)
F (0.5000, 0.0000, 0.0000)

Record 2
Here is crystalline La2CeAs3Ir4 at its relaxed geometry from Alexandria via LeMat-Bulk. Energies are from GGA-PBE.

Formation enthalpy at 0 K (eV per atom): -0.805
DOS(E_F) (states/eV/f.u.): 7.86
Calculated volume (Å³/f.u.): 203.03
Magnetic moment (μB per atom): 0.016

Unit cell a=4.2242 b=4.2242 c=11.3782 alpha=90.00 beta=90.00 gamma=90.00
Last column: magnetic moment on the atom in μB.
Sites, in units of the cell vectors:
La (0.5000, 0.0000, 0.2258)  0.00
La (0.0000, 0.5000, 0.7742)  0.00
Ce (0.5000, 0.5000, 0.5000)  -0.11
As (0.0000, 0.0000, 0.5000)  0.00
As (0.5000, 0.0000, 0.8725)  0.00
As (0.0000, 0.5000, 0.1275)  0.00
Ir (0.5000, 0.5000, 0.0000)  0.00
Ir (0.0000, 0.0000, 0.0000)  0.00
Ir (0.5000, 0.0000, 0.6556)  0.00
Ir (0.0000, 0.5000, 0.3444)  0.00

Number 1: calculated total energy -18.4 eV per cell. Number 2: calculated total energy -73.2 eV per cell.